# Mn3O2F4 PBEsol relaxed
# ΔE to the lowest computed polymorph, eV/atom: 0.011
# Crystal system: monoclinic
# Uncorrected formation energy, eV/f.u.: -18.17
data_Mn3O2F4
_symmetry_space_group_name_H-M 'C 1 2/m 1'
_symmetry_Int_Tables_number 12
_cell_length_a 6.3606
_cell_length_b 6.9904
_cell_length_c 9.2507
_cell_angle_alpha 90.00
_cell_angle_beta 90.00
_cell_angle_gamma 90.00
loop_
_symmetry_equiv_pos_as_xyz
'x,y,z'
'-x,-y,-z'
'-x,y,-z'
'x,-y,z'
'x+1/2,y+1/2,z'
'-x+1/2,-y+1/2,-z'
'-x+1/2,y+1/2,-z'
'x+1/2,-y+1/2,z'
loop_
_atom_site_label
_atom_site_type_symbol
_atom_site_fract_x
_atom_site_fract_y
_atom_site_fract_z
_atom_site_occupancy
Mn1 Mn 0.0000 0.0000 0.0000 1
Mn2 Mn 0.0000 0.5000 0.5000 1
Mn3 Mn 0.0009 0.0000 0.3432 1
Mn4 Mn 0.0337 0.5000 0.8312 1
O1 O 0.1732 0.0000 0.1716 1
O2 O 0.1972 0.0000 0.5011 1
F1 F 0.0000 0.3025 0.0000 1
F2 F 0.0112 0.3047 0.6673 1
F3 F 0.2193 0.0000 0.8243 1

=====

# LiCuHS2 PBEsol relaxed
# Final energy, eV for the cell shown: -17.7
# Crystal system: tetragonal
data_LiCuHS2
_symmetry_space_group_name_H-M 'P 4/m m m'
_symmetry_Int_Tables_number 123
_symmetry_space_group_name_Hall '-P 4 2'
_cell_length_a 4.0881
_cell_length_b 4.0881
_cell_length_c 3.4625
_cell_angle_alpha 90.00
_cell_angle_beta 90.00
_cell_angle_gamma 90.00
loop_
_atom_site_label
_atom_site_type_symbol
_atom_site_fract_x
_atom_site_fract_y
_atom_site_fract_z
_atom_site_occupancy
Li1 Li 0.0000 0.0000 0.0000 1
Cu1 Cu 0.5000 0.5000 0.0000 1
H1 H 0.0000 0.0000 0.5000 1
S1 S 0.0000 0.5000 0.5000 1

=====

# MgTiTeAu2 PBEsol relaxed
# Crystal system: tetragonal
# Uncorrected formation energy, eV/f.u.: 1.11
data_MgTiTeAu2
_symmetry_space_group_name_H-M 'P 4/m m m'
_symmetry_Int_Tables_number 123
_symmetry_space_group_name_Hall '-P 4 2'
_cell_length_a 4.9882
_cell_length_b 4.9882
_cell_length_c 5.0996
_cell_angle_alpha 90.00
_cell_angle_beta 90.00
_cell_angle_gamma 90.00
loop_
_atom_site_label
_atom_site_type_symbol
_atom_site_fract_x
_atom_site_fract_y
_atom_site_fract_z
_atom_site_occupancy
Mg1 Mg 0.0000 0.0000 0.0000 1
Ti1 Ti 0.5000 0.5000 0.5000 1
Te1 Te 0.5000 0.5000 0.0000 1
Au1 Au 0.0000 0.5000 0.5000 1

=====

# HfUC2 PBEsol relaxed
# ΔH_f (0 K), eV per atom: -0.579
# Crystal system: trigonal
data_HfUC2
_symmetry_space_group_name_H-M 'R -3 m'
_symmetry_Int_Tables_number 166
_symmetry_space_group_name_Hall '-R 3 2"'
_cell_length_a 3.3204
_cell_length_b 3.3204
_cell_length_c 16.8061
_cell_angle_alpha 90.00
_cell_angle_beta 90.00
_cell_angle_gamma 120.00
loop_
_atom_site_label
_atom_site_type_symbol
_atom_site_fract_x
_atom_site_fract_y
_atom_site_fract_z
_atom_site_occupancy
Hf1 Hf 0.0000 0.0000 0.0000 1
U1 U 0.0000 0.0000 0.5000 1
C1 C 0.0000 0.0000 0.2532 1

=====

# TiCBrN2 PBEsol relaxed
# Crystal system: tetragonal
# Uncorrected formation energy, eV/f.u.: 10.62
data_TiCBrN2
_symmetry_space_group_name_H-M 'P 4/m m m'
_symmetry_Int_Tables_number 123
_symmetry_space_group_name_Hall '-P 4 2'
_cell_length_a 3.7785
_cell_length_b 3.7785
_cell_length_c 3.8461
_cell_angle_alpha 90.00
_cell_angle_beta 90.00
_cell_angle_gamma 90.00
loop_
_atom_site_label
_atom_site_type_symbol
_atom_site_fract_x
_atom_site_fract_y
_atom_site_fract_z
_atom_site_occupancy
Ti1 Ti 0.0000 0.0000 0.0000 1
C1 C 0.5000 0.5000 0.0000 1
Br1 Br 0.5000 0.5000 0.5000 1
N1 N 0.0000 0.5000 0.5000 1

=====

# Ta5Mo PBEsol relaxed
# ΔH_f (0 K), eV per atom: -0.051
# ΔE to the lowest computed polymorph, eV/atom: 0.015
# Crystal system: trigonal
data_Ta5Mo
_symmetry_space_group_name_H-M 'P -3 m 1'
_symmetry_Int_Tables_number 164
_symmetry_space_group_name_Hall '-P 3 2"'
_cell_length_a 4.6020
_cell_length_b 4.6020
_cell_length_c 5.6252
_cell_angle_alpha 90.00
_cell_angle_beta 90.00
_cell_angle_gamma 120.00
loop_
_atom_site_label
_atom_site_type_symbol
_atom_site_fract_x
_atom_site_fract_y
_atom_site_fract_z
_atom_site_occupancy
Ta1 Ta 0.0000 0.0000 0.0000 1
Ta2 Ta 0.3333 0.6667 0.1580 1
Ta3 Ta 0.3333 0.6667 0.6572 1
Mo1 Mo 0.0000 0.0000 0.5000 1

=====

# TaTlRe2Te PBEsol relaxed
# Crystal system: tetragonal
# Uncorrected formation energy, eV/f.u.: 13.10
data_TaTlRe2Te
_symmetry_space_group_name_H-M 'P 4/m m m'
_symmetry_Int_Tables_number 123
_symmetry_space_group_name_Hall '-P 4 2'
_cell_length_a 4.7471
_cell_length_b 4.7471
_cell_length_c 5.2617
_cell_angle_alpha 90.00
_cell_angle_beta 90.00
_cell_angle_gamma 90.00
loop_
_atom_site_label
_atom_site_type_symbol
_atom_site_fract_x
_atom_site_fract_y
_atom_site_fract_z
_atom_site_occupancy
Ta1 Ta 0.0000 0.0000 0.0000 1
Tl1 Tl 0.5000 0.5000 0.0000 1
Re1 Re 0.0000 0.5000 0.5000 1
Te1 Te 0.5000 0.5000 0.5000 1

=====

# BaLa2Ir PBEsol relaxed
# ΔH_f (0 K), eV per atom: -0.388
# ΔE to the lowest computed polymorph, eV/atom: 0.000
# Crystal system: trigonal
data_BaLa2Ir
_symmetry_space_group_name_H-M 'R -3 m'
_symmetry_Int_Tables_number 166
_symmetry_space_group_name_Hall '-R 3 2"'
_cell_length_a 4.2071
_cell_length_b 4.2071
_cell_length_c 29.9686
_cell_angle_alpha 90.00
_cell_angle_beta 90.00
_cell_angle_gamma 120.00
loop_
_atom_site_label
_atom_site_type_symbol
_atom_site_fract_x
_atom_site_fract_y
_atom_site_fract_z
_atom_site_occupancy
Ba1 Ba 0.0000 0.0000 0.0000 1
La1 La 0.0000 0.0000 0.2159 1
Ir1 Ir 0.0000 0.0000 0.5000 1

=====

# NaZrBPb2 PBEsol relaxed
# ΔH_f (0 K), eV per atom: 0.423
# Crystal system: tetragonal
data_NaZrBPb2
_symmetry_space_group_name_H-M 'P 4/m m m'
_symmetry_Int_Tables_number 123
_symmetry_space_group_name_Hall '-P 4 2'
_cell_length_a 5.0505
_cell_length_b 5.0505
_cell_length_c 4.5716
_cell_angle_alpha 90.00
_cell_angle_beta 90.00
_cell_angle_gamma 90.00
loop_
_atom_site_label
_atom_site_type_symbol
_atom_site_fract_x
_atom_site_fract_y
_atom_site_fract_z
_atom_site_occupancy
Na1 Na 0.0000 0.0000 0.0000 1
Zr1 Zr 0.5000 0.5000 0.0000 1
B1 B 0.5000 0.5000 0.5000 1
Pb1 Pb 0.0000 0.5000 0.5000 1

=====

# Ge2Pd2I PBEsol relaxed
# Crystal system: tetragonal
# Uncorrected formation energy, eV/f.u.: -0.71
data_Ge2Pd2I
_symmetry_space_group_name_H-M 'I 4/m m m'
_symmetry_Int_Tables_number 139
_symmetry_space_group_name_Hall '-I 4 2'
_cell_length_a 4.0639
_cell_length_b 4.0639
_cell_length_c 11.8762
_cell_angle_alpha 90.00
_cell_angle_beta 90.00
_cell_angle_gamma 90.00
loop_
_atom_site_label
_atom_site_type_symbol
_atom_site_fract_x
_atom_site_fract_y
_atom_site_fract_z
_atom_site_occupancy
Ge1 Ge 0.0000 0.5000 0.2500 1
Pd1 Pd 0.0000 0.0000 0.1192 1
I1 I 0.0000 0.0000 0.5000 1

=====

# SrMgIn2 PBEsol relaxed
# ΔH_f (0 K), eV per atom: -0.331
# Crystal system: tetragonal
data_SrMgIn2
_symmetry_space_group_name_H-M 'P 4/m m m'
_symmetry_Int_Tables_number 123
_symmetry_space_group_name_Hall '-P 4 2'
_cell_length_a 3.7224
_cell_length_b 3.7224
_cell_length_c 7.6776
_cell_angle_alpha 90.00
_cell_angle_beta 90.00
_cell_angle_gamma 90.00
loop_
_atom_site_label
_atom_site_type_symbol
_atom_site_fract_x
_atom_site_fract_y
_atom_site_fract_z
_atom_site_occupancy
Sr1 Sr 0.0000 0.0000 0.0000 1
Mg1 Mg 0.0000 0.0000 0.5000 1
In1 In 0.5000 0.5000 0.2939 1

=====

# Al5Hg PBEsol relaxed
# ΔH_f (0 K), eV per atom: 0.070
# ΔE to the lowest computed polymorph, eV/atom: 0.011
# Crystal system: monoclinic
data_Al5Hg
_symmetry_space_group_name_H-M 'C 1 2/m 1'
_symmetry_Int_Tables_number 12
_cell_length_a 9.5365
_cell_length_b 2.9286
_cell_length_c 8.1320
_cell_angle_alpha 90.00
_cell_angle_beta 114.14
_cell_angle_gamma 90.00
loop_
_symmetry_equiv_pos_as_xyz
'x,y,z'
'-x,-y,-z'
'-x,y,-z'
'x,-y,z'
'x+1/2,y+1/2,z'
'-x+1/2,-y+1/2,-z'
'-x+1/2,y+1/2,-z'
'x+1/2,-y+1/2,z'
loop_
_atom_site_label
_atom_site_type_symbol
_atom_site_fract_x
_atom_site_fract_y
_atom_site_fract_z
_atom_site_occupancy
Al1 Al 0.0000 0.0000 0.0000 1
Al2 Al 0.1676 0.5000 0.3222 1
Al3 Al 0.1685 0.5000 0.8439 1
Hg1 Hg 0.0000 0.0000 0.5000 1

=====

# Co2HgPt PBEsol relaxed
# ΔH_f (0 K), eV per atom: 0.269
# Crystal system: orthorhombic
data_Co2HgPt
_symmetry_space_group_name_H-M 'C m m m'
_symmetry_Int_Tables_number 65
_symmetry_space_group_name_Hall '-C 2 2'
_cell_length_a 5.4618
_cell_length_b 7.4000
_cell_length_c 2.7481
_cell_angle_alpha 90.00
_cell_angle_beta 90.00
_cell_angle_gamma 90.00
loop_
_atom_site_label
_atom_site_type_symbol
_atom_site_fract_x
_atom_site_fract_y
_atom_site_fract_z
_atom_site_occupancy
Co1 Co 0.2500 0.2500 0.0000 1
Hg1 Hg 0.0000 0.0000 0.5000 1
Pt1 Pt 0.0000 0.5000 0.5000 1

=====

# AlB3H12 PBEsol relaxed
# Final energy, eV for the cell shown: -262.3
# Crystal system: orthorhombic
data_AlB3H12
_symmetry_space_group_name_H-M 'P n a 21'
_symmetry_Int_Tables_number 33
_cell_length_a 16.6810
_cell_length_b 5.7950
_cell_length_c 5.6878
_cell_angle_alpha 90.00
_cell_angle_beta 90.00
_cell_angle_gamma 90.00
loop_
_symmetry_equiv_pos_as_xyz
'x,y,z'
'-x,-y,z+1/2'
'-x+1/2,y+1/2,z+1/2'
'x+1/2,-y+1/2,z'
loop_
_atom_site_label
_atom_site_type_symbol
_atom_site_fract_x
_atom_site_fract_y
_atom_site_fract_z
_atom_site_occupancy
Al1 Al 0.1398 0.1609 0.0000 1
B1 B 0.0886 0.4393 0.8606 1
B2 B 0.0940 0.9903 0.3039 1
B3 B 0.2293 0.9480 0.8444 1
H1 H 0.0438 0.1020 0.4063 1
H2 H 0.0531 0.2574 0.8040 1
H3 H 0.0560 0.6056 0.7815 1
H4 H 0.0674 0.9531 0.0996 1
H5 H 0.0898 0.4466 0.0805 1
H6 H 0.1142 0.8043 0.3780 1
H7 H 0.1571 0.1115 0.3051 1
H8 H 0.1591 0.4213 0.7911 1
H9 H 0.1589 0.9561 0.7649 1
H10 H 0.2287 0.4648 0.1715 1
H11 H 0.2353 0.7810 0.9702 1
H12 H 0.2471 0.1254 0.9621 1

=====

# Sr2NdTaCu2O8 PBEsol relaxed
# Crystal system: tetragonal
# Uncorrected formation energy, eV/f.u.: -33.65
data_Sr2NdTaCu2O8
_symmetry_space_group_name_H-M 'P 4/m m m'
_symmetry_Int_Tables_number 123
_symmetry_space_group_name_Hall '-P 4 2'
_cell_length_a 3.9076
_cell_length_b 3.9076
_cell_length_c 11.5093
_cell_angle_alpha 90.00
_cell_angle_beta 90.00
_cell_angle_gamma 90.00
loop_
_atom_site_label
_atom_site_type_symbol
_atom_site_fract_x
_atom_site_fract_y
_atom_site_fract_z
_atom_site_occupancy
Sr1 Sr 0.0000 0.0000 0.2000 1
Nd1 Nd 0.0000 0.0000 0.5000 1
Ta1 Ta 0.5000 0.5000 0.0000 1
Cu1 Cu 0.5000 0.5000 0.3577 1
O1 O 0.0000 0.5000 0.0000 1
O2 O 0.0000 0.5000 0.3677 1
O3 O 0.5000 0.5000 0.1705 1

=====

# Ca2FeSe PBEsol relaxed
# ΔE to the lowest computed polymorph, eV/atom: 0.282
# Crystal system: cubic
# Uncorrected formation energy, eV/f.u.: -0.88
data_Ca2FeSe
_symmetry_space_group_name_H-M 'F m -3 m'
_symmetry_Int_Tables_number 225
_symmetry_space_group_name_Hall '-F 4 2 3'
_cell_length_a 7.0275
_cell_length_b 7.0275
_cell_length_c 7.0275
_cell_angle_alpha 90.00
_cell_angle_beta 90.00
_cell_angle_gamma 90.00
loop_
_atom_site_label
_atom_site_type_symbol
_atom_site_fract_x
_atom_site_fract_y
_atom_site_fract_z
_atom_site_occupancy
Ca1 Ca 0.2500 0.2500 0.2500 1
Fe1 Fe 0.0000 0.0000 0.0000 1
Se1 Se 0.0000 0.0000 0.5000 1

=====

# SrLaMnMoO6 PBEsol relaxed
# Crystal system: monoclinic
# Uncorrected formation energy, eV/f.u.: -25.06
data_SrLaMnMoO6
_symmetry_space_group_name_H-M 'P 1 c 1'
_symmetry_Int_Tables_number 7
_cell_length_a 5.5711
_cell_length_b 5.6393
_cell_length_c 9.6009
_cell_angle_alpha 90.00
_cell_angle_beta 125.45
_cell_angle_gamma 90.00
loop_
_symmetry_equiv_pos_as_xyz
'x,y,z'
'x,-y,z+1/2'
loop_
_atom_site_label
_atom_site_type_symbol
_atom_site_fract_x
_atom_site_fract_y
_atom_site_fract_z
_atom_site_occupancy
Sr1 Sr 0.0000 0.2175 0.0000 1
La1 La 0.5119 0.2942 0.4982 1
Mn1 Mn 0.2560 0.2456 0.7498 1
Mo1 Mo 0.7557 0.2469 0.2502 1
O1 O 0.0803 0.2363 0.4974 1
O2 O 0.4464 0.2664 0.0034 1
O3 O 0.5086 0.0464 0.2902 1
O4 O 0.5794 0.4776 0.7870 1
O5 O 0.9124 0.0367 0.7097 1
O6 O 0.9988 0.4625 0.2177 1

=====

# K2AgSbCl6 PBEsol relaxed
# Crystal system: cubic
# Uncorrected formation energy, eV/f.u.: -11.98
data_K2AgSbCl6
_symmetry_space_group_name_H-M 'F m -3 m'
_symmetry_Int_Tables_number 225
_symmetry_space_group_name_Hall '-F 4 2 3'
_cell_length_a 10.4624
_cell_length_b 10.4624
_cell_length_c 10.4624
_cell_angle_alpha 90.00
_cell_angle_beta 90.00
_cell_angle_gamma 90.00
loop_
_atom_site_label
_atom_site_type_symbol
_atom_site_fract_x
_atom_site_fract_y
_atom_site_fract_z
_atom_site_occupancy
K1 K 0.2500 0.2500 0.2500 1
Ag1 Ag 0.0000 0.0000 0.0000 1
Sb1 Sb 0.0000 0.0000 0.5000 1
Cl1 Cl 0.0000 0.0000 0.2494 1

=====

# TeMoW PBEsol relaxed
# Crystal system: trigonal
# Uncorrected formation energy, eV/f.u.: 1.92
data_TeMoW
_symmetry_space_group_name_H-M 'P 3 m 1'
_symmetry_Int_Tables_number 156
_cell_length_a 4.4961
_cell_length_b 4.4961
_cell_length_c 2.9891
_cell_angle_alpha 90.00
_cell_angle_beta 90.00
_cell_angle_gamma 120.00
loop_
_symmetry_equiv_pos_as_xyz
'x,y,z'
'-y,x-y,z'
'-x+y,-x,z'
'-y,-x,z'
'-x+y,y,z'
'x,x-y,z'
loop_
_atom_site_label
_atom_site_type_symbol
_atom_site_fract_x
_atom_site_fract_y
_atom_site_fract_z
_atom_site_occupancy
Te1 Te 0.0000 0.0000 0.0000 1
Mo1 Mo 0.3333 0.6667 0.4982 1
W1 W 0.6667 0.3333 0.9996 1

=====

# SrCa2Al PBEsol relaxed
# ΔH_f (0 K), eV per atom: -0.048
# Crystal system: orthorhombic
data_SrCa2Al
_symmetry_space_group_name_H-M 'I m m m'
_symmetry_Int_Tables_number 71
_symmetry_space_group_name_Hall '-I 2 2'
_cell_length_a 3.8803
_cell_length_b 5.8921
_cell_length_c 12.2069
_cell_angle_alpha 90.00
_cell_angle_beta 90.00
_cell_angle_gamma 90.00
loop_
_atom_site_label
_atom_site_type_symbol
_atom_site_fract_x
_atom_site_fract_y
_atom_site_fract_z
_atom_site_occupancy
Sr1 Sr 0.0000 0.0000 0.0000 1
Ca1 Ca 0.0000 0.5000 0.2030 1
Al1 Al 0.0000 0.0000 0.5000 1